1.
Below is an optimized crystal structure of SrZn2W, with properties calculated at the GGA-PBE level.

Cell: 10.0679 10.0679 10.0679 Å, 17.17 17.17 17.17°
Last column: nearest neighbours and their distance in Å.
Fractional coordinates of all 4 atoms:
Zn: 0.0102 0.0102 0.0102  3 W 2.78, 6 Zn 3.01
Zn: 0.4898 0.4898 0.4898  3 W 2.78, 6 Zn 3.01
Sr: 0.2500 0.2500 0.2500  6 Sr 3.01, 6 Zn 3.28
W: 0.7500 0.7500 0.7500  6 Zn 2.78, 6 W 3.01

Summary:
size of the total moment = 0.000 μB per cell
E above lowest polymorph = 294.7 meV per atom
volume = 77.6 Å³ per cell
space group = R-3m, No. 166
total DFT energy (no corrections) = -3.626 eV/atom
DOS(E_F) = 0.587 states/eV/atom
energy of formation from the pure elements = 0.67 eV/atom

=====

2.
Below is an optimized crystal structure of Tm8Te2Rh3, with properties calculated at the GGA-PBE level.

Cell: 4.7718 9.5771 8.8937 Å, 122.52 90.00 90.00°
Last column: nearest neighbours and their distance in Å.
Fractional coordinates of all 13 atoms:
Te: 0.5000 0.7442 0.4889  8 Tm 3.16-3.23
Te: 0.5000 0.2558 0.5111  8 Tm 3.16-3.23
Tm: 0.0000 0.1119 0.2236  4 Rh 2.89-2.92, 2 Te 3.22
Tm: 0.0000 0.8881 0.7764  4 Rh 2.89-2.92, 2 Te 3.22
Tm: 0.0000 0.6063 0.2124  2 Rh 2.90-2.91, 2 Te 3.16, 1 Tm 3.19
Tm: 0.5000 0.6438 0.7827  3 Rh 2.88-2.89, 1 Te 3.16
Tm: 0.5000 0.8618 0.2182  3 Rh 2.88-2.89, 1 Te 3.16
Tm: 0.5000 0.1382 0.7818  3 Rh 2.88-2.89, 1 Te 3.16
Tm: 0.5000 0.3562 0.2173  3 Rh 2.88-2.89, 1 Te 3.16
Tm: 0.0000 0.3937 0.7876  2 Rh 2.90-2.91, 2 Te 3.16, 1 Tm 3.19
Rh: 0.5000 0.0000 0.0000  8 Tm 2.88-2.92
Rh: 0.0000 0.2464 0.9998  8 Tm 2.89-2.91
Rh: 0.0000 0.7536 0.0002  8 Tm 2.89-2.91

Summary:
size of the total moment = 0.000 μB per cell
volume = 342.7 Å³ per cell
space group = P2/m, No. 10
energy relative to the elements, uncorrected = -735 meV/atom
total DFT energy (no corrections) = -5.667 eV/atom
DOS(E_F) = 0.646 states/eV/atom

=====

3.
Below is an optimized crystal structure of Ti7Bi2H2Au, with properties calculated at the GGA-PBE level.

Cell: 4.1773 4.1773 11.4607 Å, 79.43 79.43 90.01°
Last column: nearest neighbours and their distance in Å.
Fractional coordinates of all 12 atoms:
Au: 0.0000 0.0000 0.0000  12 Ti 2.89-2.95
Ti: 0.4094 0.9094 0.1804  2 H 2.09
Ti: 0.3205 0.3205 0.3565  1 H 1.96
Ti: 0.5000 0.5000 0.0000  2 H 1.99
Ti: 0.0906 0.5906 0.8196  2 H 2.09
Ti: 0.5906 0.0906 0.8196  2 H 2.09
Ti: 0.6795 0.6795 0.6435  1 H 1.96
Ti: 0.9094 0.4094 0.1804  2 H 2.09
H: 0.5902 0.5902 0.8203  6 Ti 1.96-2.09
H: 0.4098 0.4098 0.1797  6 Ti 1.96-2.09
Bi: 0.1892 0.1892 0.6239  9 Ti 2.96-3.01
Bi: 0.8108 0.8108 0.3761  9 Ti 2.96-3.01

Summary:
size of the total moment = 0.001 μB per cell
volume = 193.1 Å³ per cell
space group = C2/m, No. 12
total DFT energy (no corrections) = -6.379 eV/atom
DOS(E_F) = 0.719 states/eV/atom

=====

4.
Below is an optimized crystal structure of AcMg12Ag6, with properties calculated at the GGA-PBE level.

Cell: 7.8804 7.8804 7.8804 Å, 104.65 104.65 104.65°
Last column: nearest neighbours and their distance in Å.
Fractional coordinates of all 19 atoms:
Mg: 0.8821 0.5000 0.1179  4 Ag 2.70-2.78, 1 Mg 2.94
Mg: 0.5000 0.1179 0.8821  4 Ag 2.70-2.78, 1 Mg 2.94
Mg: 0.1631 0.4231 0.4231  3 Ag 2.79-2.88
Mg: 0.8821 0.1179 0.5000  4 Ag 2.70-2.78, 1 Mg 2.94
Mg: 0.4231 0.4231 0.1631  3 Ag 2.79-2.88
Mg: 0.4231 0.1631 0.4231  3 Ag 2.79-2.88
Mg: 0.5769 0.8369 0.5769  3 Ag 2.79-2.88
Mg: 0.1179 0.5000 0.8821  4 Ag 2.70-2.78, 1 Mg 2.94
Mg: 0.5000 0.8821 0.1179  4 Ag 2.70-2.78, 1 Mg 2.94
Mg: 0.8369 0.5769 0.5769  3 Ag 2.79-2.88
Mg: 0.5769 0.5769 0.8369  3 Ag 2.79-2.88
Mg: 0.1179 0.8821 0.5000  4 Ag 2.70-2.78, 1 Mg 2.94
Ag: 0.2603 0.2603 0.7063  7 Mg 2.70-2.88
Ag: 0.7397 0.7397 0.2937  7 Mg 2.70-2.88
Ag: 0.7063 0.2603 0.2603  7 Mg 2.70-2.88
Ag: 0.7397 0.2937 0.7397  7 Mg 2.70-2.88
Ag: 0.2937 0.7397 0.7397  7 Mg 2.70-2.88
Ag: 0.2603 0.7063 0.2603  7 Mg 2.70-2.88
Ac: 0.0000 0.0000 0.0000  6 Mg 3.73, 6 Ag 4.06

Summary:
size of the total moment = 0.000 μB per cell
volume = 431.0 Å³ per cell
space group = R-3m, No. 166
total DFT energy (no corrections) = -2.255 eV/atom
DOS(E_F) = 0.249 states/eV/atom
energy of formation from the pure elements = -0.13 eV/atom

=====

5.
Below is an optimized crystal structure of Li2Be2GePd5, with properties calculated at the GGA-PBE level.

Cell: 3.1141 9.4682 9.4682 Å, 90.00 90.00 90.00°
Last column: nearest neighbours and their distance in Å.
Fractional coordinates of all 20 atoms:
Be: 0.0000 0.1264 0.6264  6 Pd 2.27-2.30
Be: 0.0000 0.8736 0.3736  6 Pd 2.27-2.30
Be: 0.0000 0.3736 0.1264  6 Pd 2.27-2.30
Be: 0.0000 0.6264 0.8736  6 Pd 2.27-2.30
Pd: 0.5000 0.5000 0.0000  4 Be 2.30
Pd: 0.5000 0.2926 0.5714  2 Be 2.27
Pd: 0.5000 0.7074 0.4286  2 Be 2.27
Pd: 0.5000 0.2074 0.0714  2 Be 2.27
Pd: 0.5000 0.5714 0.7074  2 Be 2.27
Pd: 0.5000 0.7926 0.9286  2 Be 2.27
Pd: 0.5000 0.9286 0.2074  2 Be 2.27
Pd: 0.5000 0.4286 0.2926  2 Be 2.27
Pd: 0.5000 0.0714 0.7926  2 Be 2.27
Pd: 0.5000 0.0000 0.5000  4 Be 2.30
Li: 0.0000 0.3272 0.8272  3 Be 2.69-2.87, 10 Pd 2.79-3.01
Li: 0.0000 0.1728 0.3272  3 Be 2.69-2.87, 10 Pd 2.79-3.01
Li: 0.0000 0.8272 0.6728  3 Be 2.69-2.87, 10 Pd 2.79-3.01
Li: 0.0000 0.6728 0.1728  3 Be 2.69-2.87, 10 Pd 2.79-3.01
Ge: 0.0000 0.0000 0.0000  8 Pd 2.60
Ge: 0.0000 0.5000 0.5000  8 Pd 2.60

Summary:
size of the total moment = 0.000 μB per cell
volume = 279.2 Å³ per cell
space group = P4/mbm, No. 127
total DFT energy (no corrections) = -4.705 eV/atom
DOS(E_F) = 0.357 states/eV/atom
energy of formation from the pure elements = -0.52 eV/atom

=====

6.
Below is an optimized crystal structure of SrCdHg3, with properties calculated at the GGA-PBE level.

Cell: 5.3710 9.8555 10.3417 Å, 90.00 90.00 90.00°
Last column: nearest neighbours and their distance in Å.
Fractional coordinates of all 20 atoms:
Hg: 0.7500 0.5950 0.3626  2 Cd 2.86-2.94, 1 Hg 3.12
Hg: 0.2500 0.5767 0.1218  2 Hg 2.93-3.04, 3 Cd 2.98-3.27
Hg: 0.2500 0.9050 0.8626  2 Cd 2.86-2.94, 1 Hg 3.12
Hg: 0.2500 0.3822 0.3363  3 Hg 2.93-3.12, 2 Cd 3.22
Hg: 0.7500 0.6178 0.6637  3 Hg 2.93-3.12, 2 Cd 3.22
Hg: 0.7500 0.0950 0.1374  2 Cd 2.86-2.94, 1 Hg 3.12
Hg: 0.2500 0.8822 0.1637  3 Hg 2.93-3.12, 2 Cd 3.22
Hg: 0.2500 0.4050 0.6374  2 Cd 2.86-2.94, 1 Hg 3.12
Hg: 0.7500 0.4233 0.8782  2 Hg 2.93-3.04, 3 Cd 2.98-3.27
Hg: 0.2500 0.0767 0.3782  2 Hg 2.93-3.04, 3 Cd 2.98-3.27
Hg: 0.7500 0.1178 0.8363  3 Hg 2.93-3.12, 2 Cd 3.22
Hg: 0.7500 0.9233 0.6218  2 Hg 2.93-3.04, 3 Cd 2.98-3.27
Cd: 0.7500 0.8924 0.3347  3 Hg 2.86-2.98
Cd: 0.2500 0.1076 0.6653  3 Hg 2.86-2.98
Cd: 0.2500 0.6076 0.8347  3 Hg 2.86-2.98
Cd: 0.7500 0.3924 0.1653  3 Hg 2.86-2.98
Sr: 0.7500 0.7585 0.0024  9 Hg 3.37-3.77, 3 Cd 3.53-3.68
Sr: 0.2500 0.2415 0.9976  9 Hg 3.37-3.77, 3 Cd 3.53-3.68
Sr: 0.2500 0.7415 0.5024  9 Hg 3.37-3.77, 3 Cd 3.53-3.68
Sr: 0.7500 0.2585 0.4976  9 Hg 3.37-3.77, 3 Cd 3.53-3.68

Summary:
size of the total moment = 0.000 μB per cell
E above lowest polymorph = 0.0 meV per atom
volume = 547.4 Å³ per cell
space group = Pnma, No. 62
total DFT energy (no corrections) = -1.016 eV/atom
DOS(E_F) = 0.330 states/eV/atom
energy of formation from the pure elements = -0.32 eV/atom